Na2NiPO4F (SCAN, PBEsol geometry); calculated volume = 816.3 Å³ per cell; total moment = 16.26 Bohr magnetons per cell; raw formation energy = -2382 meV/atom
1.0
-0.5148 2.0893 -4.7003
-2.0200 -12.1834 -5.1943
-10.6261 6.9877 4.2698
Na Ni P O F
16 8 8 32 8
direct
0.2733 0.1701 0.0892 Na
0.7733 0.3299 0.4108 Na
0.7267 0.8299 0.9108 Na
0.2267 0.6701 0.5892 Na
0.2371 0.4106 0.5804 Na
0.7371 0.0894 0.9196 Na
0.7629 0.5894 0.4196 Na
0.2629 0.9106 0.0804 Na
0.7613 0.3386 0.9195 Na
0.2613 0.1614 0.5805 Na
0.2387 0.6614 0.0805 Na
0.7387 0.8386 0.4195 Na
0.7631 0.3312 0.6611 Na
0.2631 0.1688 0.8389 Na
0.2369 0.6688 0.3389 Na
0.7369 0.8312 0.1611 Na
0.7875 0.3256 0.1481 Ni
0.2875 0.1744 0.3519 Ni
0.2125 0.6744 0.8519 Ni
0.7125 0.8256 0.6481 Ni
0.2210 0.3977 0.0755 Ni
0.7210 0.1023 0.4245 Ni
0.7790 0.6023 0.9245 Ni
0.2790 0.8977 0.5755 Ni
0.6997 0.5893 0.6777 P
0.1997 0.9107 0.8223 P
0.3003 0.4107 0.3223 P
0.8003 0.0893 0.1777 P
0.7935 0.0725 0.6614 P
0.2935 0.4275 0.8386 P
0.2065 0.9275 0.3386 P
0.7065 0.5725 0.1614 P
0.0900 0.0471 0.6554 O
0.5900 0.4529 0.8446 O
0.9100 0.9529 0.3446 O
0.4100 0.5471 0.1554 O
0.0969 0.0937 0.2020 O
0.5969 0.4063 0.2980 O
0.9031 0.9063 0.7980 O
0.4031 0.5937 0.7020 O
0.8533 0.4566 0.1126 O
0.3533 0.0434 0.3874 O
0.1467 0.5434 0.8874 O
0.6467 0.9566 0.6126 O
0.2710 0.8709 0.4131 O
0.7710 0.6291 0.0869 O
0.7290 0.1291 0.5869 O
0.2290 0.3709 0.9131 O
0.2143 0.5326 0.4020 O
0.7143 0.9674 0.0980 O
0.7857 0.4674 0.5980 O
0.2857 0.0326 0.9020 O
0.7122 0.1523 0.7839 O
0.2122 0.3477 0.7161 O
0.2878 0.8477 0.2161 O
0.7878 0.6523 0.2839 O
0.2647 0.8351 0.8778 O
0.7647 0.6649 0.6222 O
0.7353 0.1649 0.1222 O
0.2353 0.3351 0.3778 O
0.8437 0.6391 0.7942 O
0.3437 0.8609 0.7058 O
0.1563 0.3609 0.2058 O
0.6563 0.1391 0.2942 O
0.5048 0.2532 0.5005 F
0.0048 0.2468 0.9995 F
0.4952 0.7468 0.4995 F
0.9952 0.7532 0.0005 F
0.5058 0.2822 0.0293 F
0.0058 0.2178 0.4707 F
0.4942 0.7178 0.9707 F
0.9942 0.7822 0.5293 F


Ca2Mg (SCAN, PBEsol geometry); E_form = 50 meV/atom; calculated volume = 208.9 Å³ per cell; total moment = 0.06 Bohr magnetons per cell
1.0
3.6897 0.0000 0.0000
0.0000 3.6897 0.0000
-1.8449 -1.8449 15.3433
Ca Mg
4 2
direct
0.6791 0.1791 0.3581 Ca
0.8209 0.3209 0.6419 Ca
0.4291 0.4291 0.8581 Ca
0.5709 0.5709 0.1419 Ca
0.0000 0.0000 0.0000 Mg
0.2500 0.7500 0.5000 Mg


Li2ZrTc (SCAN, PBEsol geometry); ΔE to the lowest computed polymorph = 0 meV per atom; E_form = 101 meV/atom; calculated volume = 66.3 Å³ per cell; total moment = 0.00 Bohr magnetons per cell
1.0
-2.7120 -0.9623 -1.0604
1.6166 -3.9123 -0.5841
-0.8376 1.1633 5.5213
Li Tc Zr
2 1 1
direct
0.7669 0.7669 0.5338 Li
0.2331 0.2331 0.4662 Li
0.5000 0.0000 0.0000 Tc
0.0000 0.5000 0.0000 Zr


Mg7In6 (SCAN, PBEsol geometry); E_form = -30 meV/atom; calculated volume = 305.9 Å³ per cell; total moment = 0.00 Bohr magnetons per cell
1.0
5.8969 0.0000 0.0000
2.9484 5.1068 0.0000
2.9484 1.7023 10.1579
In Mg
6 7
direct
0.9510 0.9510 0.1470 In
0.0490 0.0490 0.8530 In
0.8453 0.8453 0.4641 In
0.1547 0.1547 0.5359 In
0.6669 0.6669 0.9993 In
0.3331 0.3331 0.0007 In
0.4133 0.4133 0.2578 Mg
0.9156 0.4133 0.2578 Mg
0.4133 0.9156 0.2578 Mg
0.5867 0.5867 0.7422 Mg
0.5867 0.0844 0.7422 Mg
0.0844 0.5867 0.7422 Mg
0.5000 0.5000 0.5000 Mg


Y2ZrAg (SCAN, PBEsol geometry); ΔE to the lowest computed polymorph = 161 meV per atom; E_form = 35 meV/atom; calculated volume = 96.7 Å³ per cell; total moment = 0.00 Bohr magnetons per cell
1.0
-1.3163 -0.5979 3.3152
3.3053 -3.8990 0.6092
2.5100 5.5291 0.0209
Ag Y Zr
1 2 1
direct
0.0000 0.5000 0.0000 Ag
0.7251 0.7251 0.4503 Y
0.2749 0.2749 0.5497 Y
0.5000 0.0000 0.0000 Zr


CrHgAs2 (SCAN, PBEsol geometry); E_form = 239 meV/atom; calculated volume = 72.6 Å³ per cell; total moment = 3.61 Bohr magnetons per cell
1.0
-3.3098 1.4425 2.0644
-1.5321 -3.8591 0.2402
4.4395 0.6333 2.4857
As Cr Hg
2 1 1
direct
0.7500 0.2500 0.5000 As
0.2500 0.7500 0.5000 As
0.5000 0.5000 0.0000 Cr
0.0000 0.0000 0.0000 Hg


> Number 6 is which compound?

CrHgAs2